Tb3ErHg2: optimized geometry, PBE.

abc: 8.8761 8.8761 8.8761
angles: 132.74 71.18 130.09
Closest atoms and distances in Å follow each position.
Sites, in units of the cell vectors:
Tb 0.0220 0.7500 0.2720  4 Hg 3.04-3.11
Tb 0.2500 0.2500 0.0000  4 Hg 3.10
Tb 0.4780 0.7500 0.7280  4 Hg 3.04-3.11
Tb 0.5220 0.2500 0.2720  4 Hg 3.04-3.11
Tb 0.7500 0.7500 0.0000  4 Hg 3.10
Tb 0.9780 0.2500 0.7280  4 Hg 3.04-3.11
Er 0.0000 0.5000 0.5000  2 Hg 2.92
Er 0.5000 0.0000 0.5000  2 Hg 2.92
Hg 0.1393 0.2015 0.3407  1 Er 2.92, 6 Tb 3.04-3.11
Hg 0.3607 0.7015 0.0622  1 Er 2.92, 6 Tb 3.04-3.11
Hg 0.6393 0.2985 0.9378  1 Er 2.92, 6 Tb 3.04-3.11
Hg 0.8607 0.7985 0.6593  1 Er 2.92, 6 Tb 3.04-3.11

The value obtained for the energy above the most stable polymorph in this dataset is 0.264 eV/atom. The value obtained for the total moment is 0.00 μB per cell. For the uncorrected energy, the calculation gives -3.270 eV/atom. The energy of formation from the pure elements is -0.094 eV per atom.